(1)
A plane-wave DFT calculation with PBE was carried out for a geometry-optimized AcSm6Tm3 structure.

Unit cell a=3.6688 b=12.7530 c=14.6020 alpha=83.71 beta=90.00 gamma=90.00
With the nearest neighbours (Å) after each atom.
Element x y z (fractional)
Ac (0.2500, 0.3438, 0.8671)  7 Sm 3.56-3.79, 2 Ac 3.67, 3 Tm 3.76-3.82
Ac (0.7500, 0.6562, 0.1329)  7 Sm 3.56-3.79, 2 Ac 3.67, 3 Tm 3.76-3.82
Sm (0.2500, 0.4007, 0.5371)  6 Sm 3.22-3.41, 1 Tm 3.52
Sm (0.7500, 0.5993, 0.4629)  6 Sm 3.22-3.41, 1 Tm 3.52
Sm (0.2500, 0.8709, 0.9925)  3 Tm 3.30-3.50, 3 Sm 3.62-3.67
Sm (0.7500, 0.1291, 0.0075)  3 Tm 3.30-3.50, 3 Sm 3.62-3.67
Sm (0.2500, 0.7732, 0.5729)  5 Tm 3.40-3.73, 7 Sm 3.41-3.71
Sm (0.7500, 0.2268, 0.4271)  5 Tm 3.40-3.73, 7 Sm 3.41-3.71
Sm (0.2500, 0.7640, 0.3197)  5 Sm 3.35-3.71, 4 Tm 3.39-3.49, 2 Ac 3.68
Sm (0.7500, 0.2360, 0.6803)  5 Sm 3.35-3.71, 4 Tm 3.39-3.49, 2 Ac 3.68
Sm (0.2500, 0.6118, 0.9136)  3 Ac 3.56-3.79, 5 Sm 3.62-3.81, 2 Tm 3.72
Sm (0.7500, 0.3882, 0.0864)  3 Ac 3.56-3.79, 5 Sm 3.62-3.81, 2 Tm 3.72
Sm (0.2500, 0.1650, 0.2290)  5 Tm 3.54-3.90, 8 Sm 3.59-3.81
Sm (0.7500, 0.8350, 0.7710)  5 Tm 3.54-3.90, 8 Sm 3.59-3.81
Tm (0.2500, 0.0360, 0.5932)  5 Tm 3.34-3.67, 5 Sm 3.40-3.73
Tm (0.7500, 0.9640, 0.4068)  5 Tm 3.34-3.67, 5 Sm 3.40-3.73
Tm (0.2500, 0.4498, 0.2954)  8 Sm 3.52-3.86, 2 Tm 3.67, 2 Ac 3.82
Tm (0.7500, 0.5502, 0.7046)  8 Sm 3.52-3.86, 2 Tm 3.67, 2 Ac 3.82
Tm (0.2500, 0.0602, 0.8188)  7 Sm 3.30-3.54, 3 Tm 3.34-3.67
Tm (0.7500, 0.9398, 0.1812)  7 Sm 3.30-3.54, 3 Tm 3.34-3.67

Properties
Raw total energy in eV/atom: -4.51
ΔH_f (0 K) in eV per atom: 0.07
Space-group type: No. 11



(2)
A plane-wave DFT calculation with PBE was carried out for a geometry-optimized LiDyPa2Pt4 structure.

Unit cell a=4.8263 b=4.8263 c=8.6746 alpha=73.85 beta=73.85 gamma=60.00
With the nearest neighbours (Å) after each atom.
Element x y z (fractional)
Li (0.5000, 0.5000, 0.5000)  8 Pt 2.72-3.03
Dy (0.0000, 0.0000, 0.0000)  8 Pt 2.92-3.11
Pa (0.7615, 0.7615, 0.7156)  7 Pt 2.85-2.96
Pa (0.2385, 0.2385, 0.2844)  7 Pt 2.85-2.96
Pt (0.3896, 0.3896, 0.8313)  1 Li 2.72, 3 Pa 2.94
Pt (0.8814, 0.8814, 0.3557)  4 Pa 2.85-2.96, 1 Dy 2.92, 3 Li 3.03, 3 Pt 3.18
Pt (0.1186, 0.1186, 0.6443)  4 Pa 2.85-2.96, 1 Dy 2.92, 3 Li 3.03, 3 Pt 3.18
Pt (0.6104, 0.6104, 0.1687)  1 Li 2.72, 3 Pa 2.94

Properties
Raw total energy in eV/atom: -7.09
ΔH_f (0 K) in eV per atom: -0.89
Space-group type: No. 166



(3)
A plane-wave DFT calculation with PBE was carried out for a geometry-optimized Ag2BiRh2 structure.

Unit cell a=6.7354 b=6.7354 c=4.2465 alpha=90.00 beta=90.00 gamma=90.00
With the nearest neighbours (Å) after each atom.
Element x y z (fractional)
Rh (0.3628, 0.8628, 0.0000)  2 Bi 2.61, 1 Rh 2.61, 6 Ag 2.89-2.90
Rh (0.8628, 0.6372, 0.0000)  2 Bi 2.61, 1 Rh 2.61, 6 Ag 2.89-2.90
Rh (0.6372, 0.1372, 0.0000)  2 Bi 2.61, 1 Rh 2.61, 6 Ag 2.89-2.90
Rh (0.1372, 0.3628, 0.0000)  2 Bi 2.61, 1 Rh 2.61, 6 Ag 2.89-2.90
Bi (0.0000, 0.0000, 0.0000)  4 Rh 2.61
Bi (0.5000, 0.5000, 0.0000)  4 Rh 2.61
Ag (0.1565, 0.6565, 0.5000)  6 Rh 2.89-2.90, 1 Ag 2.98
Ag (0.6565, 0.8435, 0.5000)  6 Rh 2.89-2.90, 1 Ag 2.98
Ag (0.8435, 0.3435, 0.5000)  6 Rh 2.89-2.90, 1 Ag 2.98
Ag (0.3435, 0.1565, 0.5000)  6 Rh 2.89-2.90, 1 Ag 2.98

Properties
Raw total energy in eV/atom: -4.68
ΔH_f (0 K) in eV per atom: 0.18
Space-group type: No. 127



(4)
A plane-wave DFT calculation with PBE was carried out for a geometry-optimized Er2Tm2Ga4Au structure.

Unit cell a=6.6047 b=6.6047 c=6.6047 alpha=96.86 beta=116.12 gamma=116.12
With the nearest neighbours (Å) after each atom.
Element x y z (fractional)
Er (0.5000, 0.7500, 0.2500)  8 Ga 3.30, 4 Tm 3.54
Er (0.5000, 0.2500, 0.7500)  8 Ga 3.30, 4 Tm 3.54
Tm (0.0000, 0.6862, 0.6862)  1 Au 2.75, 4 Ga 2.92
Tm (0.0000, 0.3138, 0.3138)  1 Au 2.75, 4 Ga 2.92
Ga (0.0000, 0.7447, 0.2553)  1 Au 2.52
Ga (0.4895, 0.7447, 0.7447)  1 Au 2.52
Ga (0.0000, 0.2553, 0.7447)  1 Au 2.52
Ga (0.5105, 0.2553, 0.2553)  1 Au 2.52
Au (0.0000, 0.0000, 0.0000)  4 Ga 2.52, 2 Tm 2.75

Properties
Raw total energy in eV/atom: -4.04
ΔH_f (0 K) in eV per atom: -0.33
Space-group type: No. 139